one:
This record from Alexandria via LeMat-Bulk describes a PBEsol-optimized structure of MgBeCo2. The functional is meta-GGA SCAN.

Cell and atoms, written as CIF:
```
data_MgBeCo2
_chemical_formula_sum 'Mg3 Be3 Co6'
_space_group_name_H-M_alt 'R -3 m'
_space_group_IT_number 166
_space_group_name_Hall '-R 3 2"'
_cell_length_a 2.6097
_cell_length_b 2.6097
_cell_length_c 22.6419
_cell_angle_alpha 90.00
_cell_angle_beta 90.00
_cell_angle_gamma 120.00
loop_
_atom_site_label
_atom_site_fract_x
_atom_site_fract_y
_atom_site_fract_z
Mg1 0.0000 0.0000 0.0000
Be1 0.0000 0.0000 0.5000
Co1 0.0000 0.0000 0.2391
```

V   45 Å³/f.u.
Calculated density   5.6 g/cm³



two:
This record from Alexandria via LeMat-Bulk describes a PBEsol-optimized structure of MgBeCo2. The functional is meta-GGA SCAN.

Cell and atoms, written as CIF:
```
data_MgBeCo2
_chemical_formula_sum 'Mg4 Be4 Co8'
_space_group_name_H-M_alt 'I -4 2 d'
_space_group_IT_number 122
_space_group_name_Hall 'I -4 2bw'
_cell_length_a 3.5954
_cell_length_b 3.5954
_cell_length_c 16.1180
_cell_angle_alpha 90.00
_cell_angle_beta 90.00
_cell_angle_gamma 90.00
loop_
_atom_site_label
_atom_site_fract_x
_atom_site_fract_y
_atom_site_fract_z
Mg1 0.0000 0.0000 0.0000
Be1 0.0000 0.0000 0.5000
Co1 0.1627 0.2500 0.6250
```

V   52 Å³/f.u.
Calculated density   4.8 g/cm³



Stability summary: most stable one, least stable two.



one:
This record from Alexandria via LeMat-Bulk describes a PBEsol-optimized structure of BaCaSc2. The functional is meta-GGA SCAN.

Cell and atoms, written as CIF:
```
data_BaCaSc2
_chemical_formula_sum 'Ba2 Ca2 Sc4'
_space_group_name_H-M_alt 'I m m 2'
_space_group_IT_number 44
_space_group_name_Hall 'I 2 -2'
_cell_length_a 3.7955
_cell_length_b 5.9151
_cell_length_c 11.7231
_cell_angle_alpha 90.00
_cell_angle_beta 90.00
_cell_angle_gamma 90.00
loop_
_atom_site_label
_atom_site_fract_x
_atom_site_fract_y
_atom_site_fract_z
Ba1 0.0000 0.0000 0.0000
Ca1 0.0000 0.5000 0.7838
Sc1 0.0000 0.0000 0.5344
Sc2 0.0000 0.5000 0.2398
```

V   132 Å³/f.u.
Calculated density   3.4 g/cm³



two:
This record from Alexandria via LeMat-Bulk describes a PBEsol-optimized structure of BaCaSc2. The functional is meta-GGA SCAN.

Cell and atoms, written as CIF:
```
data_BaCaSc2
_chemical_formula_sum 'Ba1 Ca1 Sc2'
_space_group_name_H-M_alt 'P m m m'
_space_group_IT_number 47
_space_group_name_Hall '-P 2 2'
_cell_length_a 3.9749
_cell_length_b 5.6598
_cell_length_c 5.7124
_cell_angle_alpha 90.00
_cell_angle_beta 90.00
_cell_angle_gamma 90.00
loop_
_atom_site_label
_atom_site_fract_x
_atom_site_fract_y
_atom_site_fract_z
Ba1 0.0000 0.0000 0.0000
Ca1 0.5000 0.5000 0.0000
Sc1 0.0000 0.5000 0.5000
Sc2 0.5000 0.0000 0.5000
```

V   129 Å³/f.u.
Calculated density   3.5 g/cm³



Stability summary: most stable one, least stable two.